1.
## ThZnCuNi (PBE)

Data for an optimized crystal structure of ThZnCuNi.

## Properties
SG: F-43m, No. 216
Offset from the most stable computed form: 0.44 eV/f.u.
Energy of formation: -0.79 eV/f.u.
Density of states at the Fermi level: 0.649 states/eV per atom

The structure in POSCAR format:
```
ThZnCuNi
1.0
-3.6526 -1.8242 2.2487
0.2457 -0.7930 4.5865
-2.4673 2.6280 2.9550
Ni Zn Cu Th
1 1 1 1
Direct
0.7500 0.7500 0.7500
0.5000 0.5000 0.5000
0.2500 0.2500 0.2500
0.0000 0.0000 0.0000
```

2.
## AgTe2HPt (PBE)

Data for an optimized crystal structure of AgTe2HPt.

## Properties
SG: P4/mmm, No. 123
Raw total energy: -12.16 eV per cell
Density of states at the Fermi level: 1.254 states/eV per atom

The structure in POSCAR format:
```
AgTe2HPt
1.0
-0.3250 5.2132 -1.0670
-3.1132 0.6310 4.0311
4.2259 0.9025 3.1223
H Te Ag Pt
1 2 1 1
Direct
0.5000 0.5000 0.5000
0.0000 0.0000 0.5000
0.5000 0.0000 0.0000
0.0000 0.0000 0.0000
0.0000 0.5000 0.0000
```

3.
## Er6Fe2Cu (PBE)

Data for an optimized crystal structure of Er6Fe2Cu.

## Properties
SG: Immm, No. 71
Energy of formation: -0.67 eV/f.u.
Density of states at the Fermi level: 1.099 states/eV per atom

The structure in POSCAR format:
```
Er6Fe2Cu
1.0
-3.8895 -4.6986 5.4304
-4.5495 1.0287 -6.7036
6.9901 -3.4901 -2.3777
Er Fe Cu
12 4 2
Direct
0.5290 0.7146 0.8144
0.4710 0.2854 0.1856
0.0997 0.2854 0.8144
0.9003 0.7146 0.1856
0.7985 0.7758 0.5743
0.2015 0.2242 0.4257
0.2015 0.7758 0.9773
0.7985 0.2242 0.0227
0.7015 0.3865 0.6850
0.2985 0.6135 0.3150
0.2985 0.9836 0.6850
0.7015 0.0164 0.3150
0.5000 0.3900 0.8900
0.5000 0.6100 0.1100
0.6190 0.0000 0.6190
0.3810 0.0000 0.3810
0.0000 0.5000 0.5000
0.0000 0.0000 0.0000
```

4.
## MnCr2Pt (PBE)

Data for an optimized crystal structure of MnCr2Pt.

## Properties
SG: C2/m, No. 12
Energy of formation: 0.21 eV/f.u.
Density of states at the Fermi level: 1.137 states/eV per atom

The structure in POSCAR format:
```
MnCr2Pt
1.0
-0.8894 -3.5598 -2.6564
1.5733 -3.8458 -1.8039
-1.4321 -2.9248 3.1555
Cr Mn Pt
2 1 1
Direct
0.0002 0.0002 0.9853
0.4998 0.4998 0.5147
0.7500 0.7500 0.7500
0.2500 0.2500 0.2500
```

5.
## TmGaPbO4 (PBE)

Data for an optimized crystal structure of TmGaPbO4.

## Properties
SG: P2_1/m, No. 11
E_form (uncorrected): -2.1550 eV/atom
Density of states at the Fermi level: 0.000 states/eV per atom

The structure in POSCAR format:
```
TmGaPbO4
1.0
-4.6061 3.5038 -0.7605
-2.9981 -3.0929 3.9083
3.5271 3.0572 5.1250
Tm Ga Pb O
2 2 2 8
Direct
0.8153 0.7500 0.4388
0.1847 0.2500 0.5612
0.2874 0.7500 0.3389
0.7126 0.2500 0.6611
0.7128 0.7500 0.8956
0.2872 0.2500 0.1044
0.9336 0.4885 0.6806
0.0664 0.9885 0.3194
0.0664 0.5115 0.3194
0.9336 0.0115 0.6806
0.5000 0.7500 0.1787
0.5000 0.2500 0.8213
0.4980 0.7500 0.5858
0.5020 0.2500 0.4142
```

6.
## PmSm2Sn (PBE)

Data for an optimized crystal structure of PmSm2Sn.

## Properties
SG: Fm-3m, No. 225
Offset from the most stable computed form: 0.79 eV/f.u.
Energy of formation: -0.99 eV/f.u.
Density of states at the Fermi level: 1.947 states/eV per atom

The structure in POSCAR format:
```
PmSm2Sn
1.0
-2.1299 -3.2877 -3.8874
2.8905 -4.3248 -1.8434
-1.5832 -5.1278 1.2868
Sn Sm Pm
1 2 1
Direct
0.5000 0.5000 0.5000
0.2500 0.2500 0.2500
0.7500 0.7500 0.7500
0.0000 0.0000 0.0000
```

7.
## SrPuGe (PBE)

Data for an optimized crystal structure of SrPuGe.

## Properties
SG: P3m1, No. 156
Energy of formation: -0.13 eV/f.u.
Density of states at the Fermi level: 2.804 states/eV per atom

The structure in POSCAR format:
```
SrPuGe
1.0
-2.8325 -0.9681 -2.4545
0.1968 -4.8268 1.6768
-3.1121 3.3680 2.2629
Sr Ge Pu
1 1 1
Direct
0.6904 0.3333 0.6667
0.0715 0.0000 0.0000
0.2381 0.6667 0.3333
```

8.
## AcPm4Te5 (PBE)

Data for an optimized crystal structure of AcPm4Te5.

## Properties
SG: I4/mmm, No. 139
E_form (uncorrected): -1.4022 eV/atom
Offset from the most stable computed form: 0.17 eV/f.u.
Density of states at the Fermi level: 0.567 states/eV per atom

The structure in POSCAR format:
```
AcPm4Te5
1.0
4.5256 0.0000 0.0000
0.0000 4.5256 0.0000
-2.2628 -2.2628 16.0036
Ac Pm Te
1 4 5
Direct
0.0000 0.0000 0.0000
0.4010 0.4010 0.8020
0.7960 0.7960 0.5919
0.2040 0.2040 0.4081
0.5990 0.5990 0.1980
0.1042 0.1042 0.2085
0.5000 0.5000 0.0000
0.8958 0.8958 0.7915
0.3020 0.3020 0.6040
0.6980 0.6980 0.3960
```

9.
## CsZn3Cl (PBE)

Data for an optimized crystal structure of CsZn3Cl.

## Properties
SG: Pm-3m, No. 221
E_form (uncorrected): 0.0990 eV/atom
Density of states at the Fermi level: 0.000 states/eV per atom

The structure in POSCAR format:
```
CsZn3Cl
1.0
6.0814 0.0000 0.0000
0.0000 6.0814 0.0000
0.0000 0.0000 6.0814
Cs Zn Cl
1 3 1
Direct
0.5000 0.5000 0.5000
0.0000 0.5000 0.0000
0.0000 0.0000 0.5000
0.5000 0.0000 0.0000
0.0000 0.0000 0.0000
```

10.
## ZnAgGe2 (PBE)

Data for an optimized crystal structure of ZnAgGe2.

## Properties
SG: I-42d, No. 122
Energy of formation: 1.15 eV/f.u.
Density of states at the Fermi level: 0.465 states/eV per atom

The structure in POSCAR format:
```
ZnAgGe2
1.0
7.4657 0.0000 0.0000
0.0000 7.4657 0.0000
3.7329 3.7329 2.7388
Ge Zn Ag
4 2 2
Direct
0.6157 0.1250 0.2500
0.1343 0.6250 0.2500
0.3750 0.3843 0.7500
0.8750 0.8657 0.7500
0.5000 0.5000 0.0000
0.2500 0.7500 0.5000
0.0000 0.0000 0.0000
0.7500 0.2500 0.5000
```

11.
## MoIrRu (PBE)

Data for an optimized crystal structure of MoIrRu.

## Properties
SG: Cmcm, No. 63
Offset from the most stable computed form: 0.12 eV/f.u.
Energy of formation: -0.41 eV/f.u.
Density of states at the Fermi level: 0.769 states/eV per atom

The structure in POSCAR format:
```
MoIrRu
1.0
-1.4555 1.2032 -3.4079
-2.3982 -3.0644 -0.0577
-2.8361 4.6371 2.8485
Mo Ir Ru
2 2 2
Direct
0.2500 0.0893 0.1786
0.7500 0.9107 0.8214
0.2500 0.4170 0.8340
0.7500 0.5830 0.1660
0.2500 0.7515 0.5030
0.7500 0.2485 0.4970
```

12.
## AcVCd2N4 (PBE)

Data for an optimized crystal structure of AcVCd2N4.

## Properties
SG: Pmn2_1, No. 31
E_form (uncorrected): -0.4730 eV/atom

The structure in POSCAR format:
```
AcVCd2N4
1.0
5.7994 0.0000 0.0000
0.0000 6.1501 0.0000
0.0000 0.0000 7.4232
Ac V Cd N
2 2 4 8
Direct
0.9870 0.1424 0.5000
0.4870 0.8576 0.0000
0.5017 0.8072 0.5000
0.0017 0.1928 0.0000
0.4956 0.3396 0.2578
0.4956 0.3396 0.7422
0.9956 0.6604 0.7578
0.9956 0.6604 0.2422
0.3150 0.2236 0.0000
0.8150 0.7764 0.5000
0.4433 0.1043 0.5000
0.9433 0.8957 0.0000
0.3809 0.6872 0.7047
0.8809 0.3128 0.2047
0.8809 0.3128 0.7953
0.3809 0.6872 0.2953
```

13.
## B2C (PBE)

Data for an optimized crystal structure of B2C.

## Properties
SG: P1, No. 1
Offset from the most stable computed form: 0.71 eV/f.u.
Energy of formation: 1.27 eV/f.u.
Density of states at the Fermi level: 0.052 states/eV per atom

The structure in POSCAR format:
```
B2C
1.0
3.3214 1.1689 0.4465
-0.3234 4.7004 -0.1710
0.1566 -2.0794 5.3153
B C
8 4
Direct
0.0136 0.0441 0.0161
0.2873 0.0097 0.7024
0.3385 0.4235 0.8517
0.5745 0.2264 0.5417
0.6172 0.6534 0.7204
0.9115 0.6693 0.4807
0.2877 0.9715 0.2765
0.3022 0.3212 0.2830
0.9946 0.9750 0.4862
0.6199 0.3537 0.0944
0.6304 0.6570 0.1066
0.9225 0.6952 0.9403
```

14.
## CeNpP (PBE)

Data for an optimized crystal structure of CeNpP.

## Properties
SG: Cmcm, No. 63
Energy of formation: -1.25 eV/f.u.
Density of states at the Fermi level: 2.689 states/eV per atom

The structure in POSCAR format:
```
CeNpP
1.0
-0.8383 1.9655 3.0121
1.2356 -2.8003 2.1712
9.9308 3.1672 -1.5667
P Ce Np
2 2 2
Direct
0.6547 0.7500 0.3094
0.3453 0.2500 0.6906
0.5499 0.2500 0.0999
0.4501 0.7500 0.9001
0.7934 0.7500 0.5869
0.2066 0.2500 0.4131
```

15.
## Y2HoH (PBE)

Data for an optimized crystal structure of Y2HoH.

## Properties
SG: R-3m, No. 166
Offset from the most stable computed form: 0.00 eV/f.u.
Density of states at the Fermi level: 0.780 states/eV per atom

The structure in POSCAR format:
```
Y2HoH
1.0
3.6003 0.0000 0.0000
1.8001 3.1179 0.0000
1.8001 1.0393 8.4949
Y H Ho
2 1 1
Direct
0.7210 0.7210 0.8371
0.2790 0.2790 0.1629
0.0000 0.0000 0.0000
0.5000 0.5000 0.5000
```

16.
## Li6HgPd8 (PBE)

Data for an optimized crystal structure of Li6HgPd8.

## Properties
SG: R-3, No. 148
Energy of formation: -4.39 eV/f.u.
Density of states at the Fermi level: 0.465 states/eV per atom

The structure in POSCAR format:
```
Li6HgPd8
1.0
0.0581 -6.7283 0.9367
5.8724 -2.9150 1.7801
0.6021 -2.3235 6.3553
Li Hg Pd
6 1 8
Direct
0.9456 0.4678 0.7230
0.2770 0.0544 0.5322
0.5322 0.2770 0.0544
0.4678 0.7230 0.9456
0.7230 0.9456 0.4678
0.0544 0.5322 0.2770
0.0000 0.0000 0.0000
0.1215 0.6595 0.8168
0.1832 0.8785 0.3405
0.3405 0.1832 0.8785
0.5835 0.5835 0.5835
0.4165 0.4165 0.4165
0.6595 0.8168 0.1215
0.8168 0.1215 0.6595
0.8785 0.3405 0.1832
```

17.
## LaSCl2F (PBE)

Data for an optimized crystal structure of LaSCl2F.

## Properties
SG: P4/mmm, No. 123
E_form (uncorrected): -1.2100 eV/atom
Offset from the most stable computed form: 0.00 eV/f.u.
Density of states at the Fermi level: 1.338 states/eV per atom

The structure in POSCAR format:
```
LaSCl2F
1.0
5.4525 0.0000 0.0000
0.0000 5.4525 0.0000
0.0000 0.0000 5.9875
S Cl F La
1 2 1 1
Direct
0.0000 0.0000 0.5000
0.0000 0.5000 0.0000
0.5000 0.0000 0.0000
0.5000 0.5000 0.5000
0.0000 0.0000 0.0000
```

18.
## Ce6Sn2O (PBE)

Data for an optimized crystal structure of Ce6Sn2O.

## Properties
SG: Immm, No. 71
E_form (uncorrected): -0.9238 eV/atom
Density of states at the Fermi level: 2.325 states/eV per atom

The structure in POSCAR format:
```
Ce6Sn2O
1.0
6.5909 0.0000 -0.1788
0.0000 6.6150 0.0000
0.2767 0.0000 10.1786
Ce Sn O
12 4 2
Direct
0.9999 0.0000 0.2668
0.7181 0.7413 0.4999
0.7819 0.7584 0.0000
0.7181 0.2584 0.5000
0.7819 0.2413 0.0001
0.5001 0.5000 0.2332
0.0001 0.0000 0.7332
0.2819 0.2587 0.5001
0.2181 0.2416 0.0000
0.2819 0.7416 0.5000
0.2181 0.7587 0.9999
0.4999 0.5000 0.7668
0.9999 0.5000 0.7430
0.5001 0.0000 0.7570
0.4999 0.0000 0.2430
0.0001 0.5000 0.2570
0.5000 0.5000 0.0000
0.0000 0.0000 0.5000
```

19.
## RbPu2O5 (PBE)

Data for an optimized crystal structure of RbPu2O5.

## Properties
SG: I4/mcm, No. 140
E_form (uncorrected): -2.5297 eV/atom
Offset from the most stable computed form: 1.06 eV/f.u.
Density of states at the Fermi level: 0.968 states/eV per atom

The structure in POSCAR format:
```
RbPu2O5
1.0
-0.9719 -0.1633 6.3722
-1.6240 -6.2268 -0.4072
7.6053 1.4899 -2.0641
Rb Pu O
2 4 10
Direct
0.7500 0.7500 0.5000
0.2500 0.2500 0.5000
0.1749 0.3251 0.0000
0.6749 0.1749 0.0000
0.3251 0.8251 0.0000
0.8251 0.6749 0.0000
0.5479 0.7551 0.8029
0.7449 0.9521 0.1971
0.0000 0.0000 0.0000
0.5000 0.5000 0.0000
0.2551 0.0479 0.8029
0.7551 0.2551 0.8029
0.0479 0.5479 0.8029
0.2449 0.7449 0.1971
0.9521 0.4521 0.1971
0.4521 0.2449 0.1971
```

20.
## Cu8S4I (PBE)

Data for an optimized crystal structure of Cu8S4I.

## Properties
SG: F-43m, No. 216
E_form (uncorrected): 0.1114 eV/atom
Density of states at the Fermi level: 0.556 states/eV per atom

The structure in POSCAR format:
```
Cu8S4I
1.0
7.4133 0.0000 0.0000
3.7067 6.4201 0.0000
3.7067 2.1400 6.0530
Cu S I
8 4 1
Direct
0.5093 0.1636 0.1636
0.1636 0.5093 0.1636
0.1636 0.1636 0.5093
0.1636 0.1636 0.1636
0.1965 0.6012 0.6012
0.6012 0.1965 0.6012
0.6012 0.6012 0.1965
0.6012 0.6012 0.6012
0.8657 0.3781 0.3781
0.3781 0.8657 0.3781
0.3781 0.3781 0.8657
0.3781 0.3781 0.3781
0.7500 0.7500 0.7500
```